Here is a geometry-optimized MnTlMo3 structure from the Alexandria database. Energies are from GGA-PBE.

- N(E_F) (states/eV per cell) = 5.1
- DFT formation energy (kJ/mol of atoms) = 105.1
- ΔE to the lowest computed polymorph (meV per atom) = 0

Cell lengths 4.5247, 4.5247, 4.5247 Å; angles 90.00, 90.00, 90.00 degrees
Sites, in units of the cell vectors:
Tl (0.5000, 0.5000, 0.5000)
Mn (0.0000, 0.0000, 0.0000)
Mo (0.0000, 0.0000, 0.5000)
Mo (0.5000, 0.0000, 0.0000)
Mo (0.0000, 0.5000, 0.0000)

***

Here is a geometry-optimized Mn2TlMo structure from the Alexandria database. Energies are from GGA-PBE.

- N(E_F) (states/eV per cell) = 2.2
- DFT formation energy (kJ/mol of atoms) = 39.8
- ΔE to the lowest computed polymorph (meV per atom) = 61

Cell lengths 3.0860, 3.0860, 6.7949 Å; angles 90.00, 90.00, 89.98 degrees
Sites, in units of the cell vectors:
Mo (0.0000, 0.0000, 0.4448)
Mn (0.5000, 0.5000, 0.2549)
Mn (0.0000, 0.0000, 0.0428)
Tl (0.5000, 0.5000, 0.7575)

***

Here is a geometry-optimized Mn2TlMo structure from the Alexandria database. Energies are from GGA-PBE.

- N(E_F) (states/eV per cell) = 3.0
- DFT formation energy (kJ/mol of atoms) = 55.3
- ΔE to the lowest computed polymorph (meV per atom) = 222

Cell lengths 4.5313, 4.5313, 4.5313 Å; angles 60.00, 60.00, 60.00 degrees
Sites, in units of the cell vectors:
Tl (0.2500, 0.2500, 0.2500)
Mn (0.0000, 0.0000, 0.0000)
Mo (0.5000, 0.5000, 0.5000)
Mn (0.7500, 0.7500, 0.7500)

***

Here is a geometry-optimized Mn2TlMo structure from the Alexandria database. Energies are from GGA-PBE.

- N(E_F) (states/eV per cell) = 3.6
- DFT formation energy (kJ/mol of atoms) = 51.3
- ΔE to the lowest computed polymorph (meV per atom) = 181

Cell lengths 8.8154, 8.8154, 8.8154 Å; angles 19.71, 19.71, 19.71 degrees
Sites, in units of the cell vectors:
Mo (0.2500, 0.2500, 0.2500)
Mn (0.9912, 0.9912, 0.9912)
Tl (0.7500, 0.7500, 0.7500)
Mn (0.5088, 0.5088, 0.5088)

***

Here is a geometry-optimized MnTlMo2 structure from the Alexandria database. Energies are from GGA-PBE.

- N(E_F) (states/eV per cell) = 3.4
- DFT formation energy (kJ/mol of atoms) = 48.7
- ΔE to the lowest computed polymorph (meV per atom) = 113

Cell lengths 3.8161, 3.9650, 4.4030 Å; angles 90.00, 90.00, 90.00 degrees
Sites, in units of the cell vectors:
Mo (0.5000, 0.5000, 0.0000)
Mo (0.0000, 0.0000, 0.0000)
Mn (0.0000, 0.5000, 0.5000)
Tl (0.5000, 0.0000, 0.5000)

***

Here is a geometry-optimized Mn2TlMo structure from the Alexandria database. Energies are from GGA-PBE.

- N(E_F) (states/eV per cell) = 3.0
- DFT formation energy (kJ/mol of atoms) = 53.0
- ΔE to the lowest computed polymorph (meV per atom) = 198

Cell lengths 4.6285, 4.6285, 5.2067 Å; angles 82.08, 82.08, 37.20 degrees
Sites, in units of the cell vectors:
Tl (0.2500, 0.2500, 0.2500)
Mn (0.0033, 0.0033, 0.9638)
Mo (0.7500, 0.7500, 0.7500)
Mn (0.4967, 0.4967, 0.5362)

***

Here is a geometry-optimized Mn2TlMo structure from the Alexandria database. Energies are from GGA-PBE.

- N(E_F) (states/eV per cell) = 9.9
- DFT formation energy (kJ/mol of atoms) = 83.7
- ΔE to the lowest computed polymorph (meV per atom) = 516

Cell lengths 7.1269, 7.1269, 5.7592 Å; angles 51.78, 51.78, 90.00 degrees
Sites, in units of the cell vectors:
Mn (0.3750, 0.4156, 0.7500)
Mn (0.1656, 0.6250, 0.2500)
Tl (0.0000, 0.0000, 0.0000)
Mo (0.2500, 0.7500, 0.5000)
Tl (0.7500, 0.2500, 0.5000)
Mn (0.5844, 0.1250, 0.2500)
Mn (0.8750, 0.8344, 0.7500)
Mo (0.5000, 0.5000, 0.0000)

***

Here is a geometry-optimized Mn2TlMo structure from the Alexandria database. Energies are from GGA-PBE.

- N(E_F) (states/eV per cell) = 4.2
- DFT formation energy (kJ/mol of atoms) = 57.8
- ΔE to the lowest computed polymorph (meV per atom) = 248

Cell lengths 4.3654, 4.3654, 4.3654 Å; angles 60.00, 60.00, 60.00 degrees
Sites, in units of the cell vectors:
Tl (0.5000, 0.5000, 0.5000)
Mn (0.7500, 0.7500, 0.7500)
Mn (0.2500, 0.2500, 0.2500)
Mo (0.0000, 0.0000, 0.0000)

***

Here is a geometry-optimized MnTlMo2 structure from the Alexandria database. Energies are from GGA-PBE.

- N(E_F) (states/eV per cell) = 2.8
- DFT formation energy (kJ/mol of atoms) = 51.9
- ΔE to the lowest computed polymorph (meV per atom) = 146

Cell lengths 4.8779, 4.8779, 4.8779 Å; angles 129.85, 129.85, 73.64 degrees
Sites, in units of the cell vectors:
Mo (0.0000, 0.0000, 0.0000)
Mn (0.7500, 0.2500, 0.5000)
Tl (0.5000, 0.5000, 0.0000)
Mo (0.2500, 0.7500, 0.5000)

***

Here is a geometry-optimized MnTlMo2 structure from the Alexandria database. Energies are from GGA-PBE.

- N(E_F) (states/eV per cell) = 3.3
- DFT formation energy (kJ/mol of atoms) = 48.7
- ΔE to the lowest computed polymorph (meV per atom) = 113

Cell lengths 4.1128, 2.8984, 6.2291 Å; angles 68.91, 90.00, 90.00 degrees
Sites, in units of the cell vectors:
Mn (0.5000, 0.7690, 0.7768)
Mo (0.5000, 0.1988, 0.2148)
Tl (0.0000, 0.4928, 0.5063)
Mo (0.0000, 0.0394, 0.0021)

***

Here is a geometry-optimized Mn2TlMo structure from the Alexandria database. Energies are from GGA-PBE.

- N(E_F) (states/eV per cell) = 2.7
- DFT formation energy (kJ/mol of atoms) = 53.5
- ΔE to the lowest computed polymorph (meV per atom) = 203

Cell lengths 4.8399, 4.8399, 4.8399 Å; angles 129.92, 129.92, 73.53 degrees
Sites, in units of the cell vectors:
Mn (0.0000, 0.0000, 0.0000)
Tl (0.7500, 0.2500, 0.5000)
Mo (0.5000, 0.5000, 0.0000)
Mn (0.2500, 0.7500, 0.5000)

***

Here is a geometry-optimized MnTlMo2 structure from the Alexandria database. Energies are from GGA-PBE.

- N(E_F) (states/eV per cell) = 3.8
- DFT formation energy (kJ/mol of atoms) = 43.6
- ΔE to the lowest computed polymorph (meV per atom) = 61

Cell lengths 2.8700, 2.8700, 7.9168 Å; angles 90.00, 90.00, 90.00 degrees
Sites, in units of the cell vectors:
Mo (0.0000, 0.0000, 0.9519)
Tl (0.5000, 0.5000, 0.2500)
Mo (0.0000, 0.0000, 0.5481)
Mn (0.5000, 0.5000, 0.7500)

***

Here is a geometry-optimized MnTlMo2 structure from the Alexandria database. Energies are from GGA-PBE.

- N(E_F) (states/eV per cell) = 1.8
- DFT formation energy (kJ/mol of atoms) = 44.6
- ΔE to the lowest computed polymorph (meV per atom) = 70

Cell lengths 3.3217, 3.3231, 6.2122 Å; angles 90.00, 90.00, 90.00 degrees
Sites, in units of the cell vectors:
Mo (0.0000, 0.0000, 0.9420)
Mn (0.5000, 0.5000, 0.7500)
Tl (0.5000, 0.5000, 0.2500)
Mo (0.0000, 0.0000, 0.5580)

***

Here is a geometry-optimized MnTlMo2 structure from the Alexandria database. Energies are from GGA-PBE.

- N(E_F) (states/eV per cell) = 3.9
- DFT formation energy (kJ/mol of atoms) = 49.6
- ΔE to the lowest computed polymorph (meV per atom) = 122

Cell lengths 4.1208, 2.8422, 6.1354 Å; angles 69.37, 90.00, 90.00 degrees
Sites, in units of the cell vectors:
Mo (0.0000, 0.9682, 0.9548)
Tl (0.5000, 0.2500, 0.2500)
Mn (0.5000, 0.7500, 0.7500)
Mo (0.0000, 0.5318, 0.5452)

***

Here is a geometry-optimized MnTlMo2 structure from the Alexandria database. Energies are from GGA-PBE.

- N(E_F) (states/eV per cell) = 4.0
- DFT formation energy (kJ/mol of atoms) = 59.6
- ΔE to the lowest computed polymorph (meV per atom) = 226

Cell lengths 5.3430, 5.3430, 2.8183 Å; angles 81.75, 81.75, 118.50 degrees
Sites, in units of the cell vectors:
Mo (0.5000, 0.5000, 0.0000)
Mn (0.0000, 0.5000, 0.5000)
Mo (0.0000, 0.0000, 0.0000)
Tl (0.5000, 0.0000, 0.5000)

***

Here is a geometry-optimized Mn2TlMo structure from the Alexandria database. Energies are from GGA-PBE.

- N(E_F) (states/eV per cell) = 4.1
- DFT formation energy (kJ/mol of atoms) = 47.8
- ΔE to the lowest computed polymorph (meV per atom) = 144

Cell lengths 4.7247, 4.7247, 4.7247 Å; angles 128.78, 128.64, 75.48 degrees
Sites, in units of the cell vectors:
Tl (0.2500, 0.7500, 0.5000)
Mo (0.7500, 0.2500, 0.5000)
Mn (0.5003, 0.5003, 0.0000)
Mn (0.9997, 0.9997, 0.0000)

***

Here is a geometry-optimized MnTlMo2 structure from the Alexandria database. Energies are from GGA-PBE.

- N(E_F) (states/eV per cell) = 3.0
- DFT formation energy (kJ/mol of atoms) = 47.1
- ΔE to the lowest computed polymorph (meV per atom) = 96

Cell lengths 5.3042, 5.3042, 4.3768 Å; angles 65.62, 65.62, 36.41 degrees
Sites, in units of the cell vectors:
Tl (0.7500, 0.7500, 0.7500)
Mo (0.9869, 0.9869, 0.0129)
Mo (0.5131, 0.5131, 0.4871)
Mn (0.2500, 0.2500, 0.2500)

***

Here is a geometry-optimized Mn2TlMo structure from the Alexandria database. Energies are from GGA-PBE.

- N(E_F) (states/eV per cell) = 4.6
- DFT formation energy (kJ/mol of atoms) = 47.7
- ΔE to the lowest computed polymorph (meV per atom) = 143

Cell lengths 2.8778, 2.8778, 8.5800 Å; angles 90.00, 90.00, 108.46 degrees
Sites, in units of the cell vectors:
Mo (0.5000, 0.5000, 0.2500)
Tl (0.5000, 0.5000, 0.7500)
Mn (0.0000, 0.0000, 0.0274)
Mn (0.0000, 0.0000, 0.4726)

***

Here is a geometry-optimized Mn2TlMo structure from the Alexandria database. Energies are from GGA-PBE.

- N(E_F) (states/eV per cell) = 2.8
- DFT formation energy (kJ/mol of atoms) = 33.9
- ΔE to the lowest computed polymorph (meV per atom) = 0

Cell lengths 3.2186, 3.2186, 6.2778 Å; angles 90.00, 90.00, 90.00 degrees
Sites, in units of the cell vectors:
Mn (0.0000, 0.0000, 0.0398)
Mn (0.0000, 0.0000, 0.4602)
Tl (0.5000, 0.5000, 0.7500)
Mo (0.5000, 0.5000, 0.2500)

***

Here is a geometry-optimized MnTlMo2 structure from the Alexandria database. Energies are from GGA-PBE.

- N(E_F) (states/eV per cell) = 3.2
- DFT formation energy (kJ/mol of atoms) = 48.5
- ΔE to the lowest computed polymorph (meV per atom) = 111

Cell lengths 5.2124, 5.2124, 4.5859 Å; angles 63.98, 63.98, 37.98 degrees
Sites, in units of the cell vectors:
Mn (0.2618, 0.2618, 0.2382)
Mo (0.7295, 0.7295, 0.7707)
Tl (0.5027, 0.5027, 0.4971)
Mo (0.0059, 0.0059, 0.9940)

***

Here is a geometry-optimized TmMn2Mo structure from the Alexandria database. Energies are from GGA-PBE.

- N(E_F) (states/eV per cell) = 2.9
- DFT formation energy (kJ/mol of atoms) = 16.9

Cell lengths 3.0817, 3.0817, 6.5541 Å; angles 90.00, 90.00, 90.00 degrees
Sites, in units of the cell vectors:
Mn (0.0000, 0.0000, 0.7906)
Mo (0.5000, 0.5000, 0.0000)
Tm (0.5000, 0.5000, 0.5000)
Mn (0.0000, 0.0000, 0.2094)

***

Here is a geometry-optimized TmMnMo structure from the Alexandria database. Energies are from GGA-PBE.

- N(E_F) (states/eV per cell) = 5.2
- DFT formation energy (kJ/mol of atoms) = 24.1

Cell lengths 4.0179, 4.5627, 6.2185 Å; angles 90.00, 108.85, 90.00 degrees
Sites, in units of the cell vectors:
Mn (0.2400, 0.2500, 0.4800)
Mo (0.3654, 0.7500, 0.7308)
Mn (0.7600, 0.7500, 0.5200)
Tm (0.9097, 0.2500, 0.8194)
Tm (0.0903, 0.7500, 0.1806)
Mo (0.6346, 0.2500, 0.2692)

***

Here is a geometry-optimized UMn2Mo structure from the Alexandria database. Energies are from GGA-PBE.

- N(E_F) (states/eV per cell) = 5.9
- DFT formation energy (kJ/mol of atoms) = 40.3
- ΔE to the lowest computed polymorph (meV per atom) = 327

Cell lengths 2.8403, 2.8403, 8.6908 Å; angles 80.60, 80.60, 60.00 degrees
Sites, in units of the cell vectors:
Mn (0.2415, 0.2415, 0.2756)
Mo (0.5000, 0.5000, 0.5000)
U (0.0000, 0.0000, 0.0000)
Mn (0.7585, 0.7585, 0.7244)

***

Here is a geometry-optimized UMn2Mo structure from the Alexandria database. Energies are from GGA-PBE.

- N(E_F) (states/eV per cell) = 4.3
- DFT formation energy (kJ/mol of atoms) = 8.8
- ΔE to the lowest computed polymorph (meV per atom) = 0

Cell lengths 2.9160, 2.9160, 6.9541 Å; angles 90.00, 90.00, 90.00 degrees
Sites, in units of the cell vectors:
Mn (0.0000, 0.0000, 0.2124)
U (0.5000, 0.5000, 0.5000)
Mn (0.0000, 0.0000, 0.7876)
Mo (0.5000, 0.5000, 0.0000)

***

Here is a geometry-optimized UMn2Mo structure from the Alexandria database. Energies are from GGA-PBE.

- N(E_F) (states/eV per cell) = 6.3
- DFT formation energy (kJ/mol of atoms) = 19.7
- ΔE to the lowest computed polymorph (meV per atom) = 114

Cell lengths 3.0819, 4.4024, 4.4024 Å; angles 90.00, 90.00, 90.00 degrees
Sites, in units of the cell vectors:
Mo (0.5000, 0.5000, 0.5000)
Mn (0.0000, 0.5000, 0.0000)
Mn (0.0000, 0.0000, 0.5000)
U (0.5000, 0.0000, 0.0000)

***

Here is a geometry-optimized Mn2V2Mo structure from the Alexandria database. Energies are from GGA-PBE.

- N(E_F) (states/eV per cell) = 15.3
- DFT formation energy (kJ/mol of atoms) = 16.9

Cell lengths 6.8296, 6.8296, 2.8098 Å; angles 90.00, 90.00, 90.00 degrees
Sites, in units of the cell vectors:
Mn (0.6408, 0.1408, 0.0000)
Mo (0.0000, 0.0000, 0.0000)
V (0.8432, 0.3432, 0.5000)
Mo (0.5000, 0.5000, 0.0000)
V (0.1568, 0.6568, 0.5000)
V (0.6568, 0.8432, 0.5000)
Mn (0.1408, 0.3592, 0.0000)
V (0.3432, 0.1568, 0.5000)
Mn (0.8592, 0.6408, 0.0000)
Mn (0.3592, 0.8592, 0.0000)

***

Here is a geometry-optimized Mn2VMo structure from the Alexandria database. Energies are from GGA-PBE.

- N(E_F) (states/eV per cell) = 3.0
- DFT formation energy (kJ/mol of atoms) = -7.2
- ΔE to the lowest computed polymorph (meV per atom) = 0

Cell lengths 2.9050, 2.9050, 5.9751 Å; angles 90.00, 90.00, 90.00 degrees
Sites, in units of the cell vectors:
Mn (0.0000, 0.0000, 0.2333)
Mo (0.5000, 0.5000, 0.5000)
Mn (0.0000, 0.0000, 0.7667)
V (0.5000, 0.5000, 0.0000)

***

Here is a geometry-optimized Mn2V8Mo structure from the Alexandria database. Energies are from GGA-PBE.

- N(E_F) (states/eV per cell) = 14.0
- DFT formation energy (kJ/mol of atoms) = 35.7
- ΔE to the lowest computed polymorph (meV per atom) = 293

Cell lengths 4.4991, 6.0447, 6.0447 Å; angles 88.69, 101.90, 101.90 degrees
Sites, in units of the cell vectors:
V (0.3564, 0.6565, 0.9712)
V (0.6437, 0.3373, 0.0227)
V (0.0001, 0.6871, 0.3067)
V (0.1936, 0.2742, 0.2742)
Mn (0.5001, 0.6423, 0.3514)
V (0.3564, 0.9712, 0.6565)
Mo (0.0000, 0.9969, 0.9969)
V (0.0001, 0.3067, 0.6871)
V (0.6437, 0.0227, 0.3373)
V (0.8064, 0.7197, 0.7197)
Mn (0.5001, 0.3514, 0.6423)

***

Here is a geometry-optimized MnVMo2 structure from the Alexandria database. Energies are from GGA-PBE.

- N(E_F) (states/eV per cell) = 9.6
- DFT formation energy (kJ/mol of atoms) = 60.8
- ΔE to the lowest computed polymorph (meV per atom) = 654

Cell lengths 6.8306, 6.8306, 5.4770 Å; angles 51.42, 51.42, 90.00 degrees
Sites, in units of the cell vectors:
Mo (0.6412, 0.1250, 0.2500)
Mo (0.3750, 0.3588, 0.7500)
Mn (0.0000, 0.0000, 0.0000)
V (0.5000, 0.5000, 0.0000)
Mn (0.7500, 0.2500, 0.5000)
Mo (0.8750, 0.8912, 0.7500)
V (0.2500, 0.7500, 0.5000)
Mo (0.1088, 0.6250, 0.2500)